[1]
# ZrTlTeCl2, relaxed, DFT GGA-PBE
# - Magnetic moment: 0.00 μB per formula unit
# - Energy relative to the elements, uncorrected: -1.03 eV per atom
# - Calculated total energy: -4.579 eV/atom
data_ZrTlTeCl2
_space_group_name_H-M_alt 'P 1'
_space_group_IT_number 1
_cell_length_a 5.095
_cell_length_b 5.095
_cell_length_c 5.780
_cell_angle_alpha 90.00
_cell_angle_beta 90.00
_cell_angle_gamma 90.00
loop_
_space_group_symop_operation_xyz
'x,y,z'
loop_
_atom_site_label
_atom_site_type_symbol
_atom_site_fract_x
_atom_site_fract_y
_atom_site_fract_z
Zr1 Zr 0.000 0.000 0.000
Tl1 Tl 0.500 0.500 0.500
Te1 Te 0.000 0.000 0.500
Cl1 Cl 0.000 0.500 0.000
Cl2 Cl 0.500 0.000 0.000


[2]
# CePuCCl, relaxed, DFT GGA-PBE
# - Magnetic moment: 6.62 μB per formula unit
# - Energy relative to the elements, uncorrected: -0.84 eV per atom
# - Calculated total energy: -8.672 eV/atom
data_CePuCCl
_space_group_name_H-M_alt 'P 1'
_space_group_IT_number 1
_cell_length_a 7.559
_cell_length_b 7.559
_cell_length_c 7.559
_cell_angle_alpha 27.75
_cell_angle_beta 27.75
_cell_angle_gamma 27.75
loop_
_space_group_symop_operation_xyz
'x,y,z'
loop_
_atom_site_label
_atom_site_type_symbol
_atom_site_fract_x
_atom_site_fract_y
_atom_site_fract_z
Ce1 Ce 0.000 0.000 0.000
Pu1 Pu 0.206 0.206 0.206
C1 C 0.602 0.602 0.602
Cl1 Cl 0.772 0.772 0.772


[3]
# CoBiSe2, relaxed, DFT GGA-PBE
# - Magnetic moment: 2.01 μB per formula unit
# - Energy relative to the elements, uncorrected: 0.21 eV per atom
# - Calculated total energy: -4.280 eV/atom
data_CoBiSe2
_space_group_name_H-M_alt 'P 1'
_space_group_IT_number 1
_cell_length_a 8.037
_cell_length_b 8.037
_cell_length_c 8.037
_cell_angle_alpha 31.83
_cell_angle_beta 31.83
_cell_angle_gamma 31.83
loop_
_space_group_symop_operation_xyz
'x,y,z'
loop_
_atom_site_label
_atom_site_type_symbol
_atom_site_fract_x
_atom_site_fract_y
_atom_site_fract_z
Co1 Co 0.000 0.000 0.000
Bi1 Bi 0.500 0.500 0.500
Se1 Se 0.100 0.100 0.100
Se2 Se 0.900 0.900 0.900


[4]
# Nd2SnGe3Ir4, relaxed, DFT GGA-PBE
# - DFT formation energy: -0.705 eV per atom
# - Magnetic moment: 0.00 μB per formula unit
# - Calculated total energy: -6.989 eV/atom
data_Nd2SnGe3Ir4
_space_group_name_H-M_alt 'P 1'
_space_group_IT_number 1
_cell_length_a 4.304
_cell_length_b 4.304
_cell_length_c 10.484
_cell_angle_alpha 90.00
_cell_angle_beta 90.00
_cell_angle_gamma 90.00
loop_
_space_group_symop_operation_xyz
'x,y,z'
loop_
_atom_site_label
_atom_site_type_symbol
_atom_site_fract_x
_atom_site_fract_y
_atom_site_fract_z
Nd1 Nd 0.000 0.500 0.245
Nd2 Nd 0.500 0.000 0.755
Sn1 Sn 0.000 0.000 0.500
Ge1 Ge 0.000 0.500 0.873
Ge2 Ge 0.500 0.000 0.127
Ge3 Ge 0.500 0.500 0.500
Ir1 Ir 0.000 0.000 0.000
Ir2 Ir 0.000 0.500 0.641
Ir3 Ir 0.500 0.000 0.359
Ir4 Ir 0.500 0.500 0.000


[5]
# ZrTaBr3, relaxed, DFT GGA-PBE
# - Magnetic moment: 4.41 μB per formula unit
# - Energy relative to the elements, uncorrected: 0.58 eV per atom
# - Calculated total energy: -4.500 eV/atom
data_ZrTaBr3
_space_group_name_H-M_alt 'P 1'
_space_group_IT_number 1
_cell_length_a 5.327
_cell_length_b 5.327
_cell_length_c 5.327
_cell_angle_alpha 90.00
_cell_angle_beta 90.00
_cell_angle_gamma 90.00
loop_
_space_group_symop_operation_xyz
'x,y,z'
loop_
_atom_site_label
_atom_site_type_symbol
_atom_site_fract_x
_atom_site_fract_y
_atom_site_fract_z
Zr1 Zr 0.000 0.000 0.000
Ta1 Ta 0.500 0.500 0.500
Br1 Br 0.000 0.000 0.500
Br2 Br 0.000 0.500 0.000
Br3 Br 0.500 0.000 0.000


[6]
# Hf2PRh2, relaxed, DFT GGA-PBE
# - DFT formation energy: -0.633 eV per atom
# - Magnetic moment: 0.00 μB per formula unit
# - Calculated total energy: -8.637 eV/atom
data_Hf2PRh2
_space_group_name_H-M_alt 'P 1'
_space_group_IT_number 1
_cell_length_a 7.188
_cell_length_b 7.188
_cell_length_c 3.364
_cell_angle_alpha 90.00
_cell_angle_beta 90.00
_cell_angle_gamma 90.00
loop_
_space_group_symop_operation_xyz
'x,y,z'
loop_
_atom_site_label
_atom_site_type_symbol
_atom_site_fract_x
_atom_site_fract_y
_atom_site_fract_z
Hf1 Hf 0.170 0.330 0.000
Hf2 Hf 0.330 0.830 0.000
Hf3 Hf 0.670 0.170 0.000
Hf4 Hf 0.830 0.670 0.000
P1 P 0.000 0.000 0.500
P2 P 0.500 0.500 0.500
Rh1 Rh 0.133 0.633 0.500
Rh2 Rh 0.367 0.133 0.500
Rh3 Rh 0.633 0.867 0.500
Rh4 Rh 0.867 0.367 0.500


[7]
# Sm2DyNpSb4, relaxed, DFT GGA-PBE
# - Magnetic moment: 3.89 μB per formula unit
# - Energy relative to the elements, uncorrected: -0.91 eV per atom
# - Calculated total energy: -6.346 eV/atom
data_Sm2DyNpSb4
_space_group_name_H-M_alt 'P 1'
_space_group_IT_number 1
_cell_length_a 7.673
_cell_length_b 4.428
_cell_length_c 7.679
_cell_angle_alpha 90.00
_cell_angle_beta 109.31
_cell_angle_gamma 90.00
loop_
_space_group_symop_operation_xyz
'x,y,z'
loop_
_atom_site_label
_atom_site_type_symbol
_atom_site_fract_x
_atom_site_fract_y
_atom_site_fract_z
Sm1 Sm 0.000 0.000 0.000
Sm2 Sm 0.500 0.500 0.000
Dy1 Dy 0.000 0.500 0.500
Np1 Np 0.500 0.000 0.500
Sb1 Sb 0.248 0.000 0.744
Sb2 Sb 0.251 0.500 0.255
Sb3 Sb 0.749 0.500 0.745
Sb4 Sb 0.752 0.000 0.256


[8]
# Ga8TcIr2, relaxed, DFT GGA-PBE
# - DFT formation energy: -0.113 eV per atom
# - Magnetic moment: 0.00 μB per formula unit
# - Calculated total energy: -4.868 eV/atom
data_Ga8TcIr2
_space_group_name_H-M_alt 'P 1'
_space_group_IT_number 1
_cell_length_a 6.722
_cell_length_b 6.722
_cell_length_c 4.955
_cell_angle_alpha 104.59
_cell_angle_beta 104.59
_cell_angle_gamma 73.26
loop_
_space_group_symop_operation_xyz
'x,y,z'
loop_
_atom_site_label
_atom_site_type_symbol
_atom_site_fract_x
_atom_site_fract_y
_atom_site_fract_z
Ga1 Ga 0.030 0.030 0.281
Ga2 Ga 0.170 0.615 0.139
Ga3 Ga 0.296 0.296 0.643
Ga4 Ga 0.385 0.830 0.861
Ga5 Ga 0.615 0.170 0.139
Ga6 Ga 0.704 0.704 0.357
Ga7 Ga 0.830 0.385 0.861
Ga8 Ga 0.970 0.970 0.719
Tc1 Tc 0.500 0.500 0.500
Ir1 Ir 0.219 0.219 0.091
Ir2 Ir 0.781 0.781 0.909


[9]
# PuPaReNi, relaxed, DFT GGA-PBE
# - DFT formation energy: 0.016 eV per atom
# - Magnetic moment: 5.40 μB per formula unit
# - Calculated total energy: -10.498 eV/atom
data_PuPaReNi
_space_group_name_H-M_alt 'P 1'
_space_group_IT_number 1
_cell_length_a 4.802
_cell_length_b 4.802
_cell_length_c 4.802
_cell_angle_alpha 60.00
_cell_angle_beta 60.00
_cell_angle_gamma 60.00
loop_
_space_group_symop_operation_xyz
'x,y,z'
loop_
_atom_site_label
_atom_site_type_symbol
_atom_site_fract_x
_atom_site_fract_y
_atom_site_fract_z
Pu1 Pu 0.000 0.000 0.000
Pa1 Pa 0.500 0.500 0.500
Re1 Re 0.750 0.750 0.750
Ni1 Ni 0.250 0.250 0.250


[10]
# ZrPBr, relaxed, DFT GGA-PBE
# - Magnetic moment: 0.00 μB per formula unit
# - Energy relative to the elements, uncorrected: -0.02 eV per atom
# - Calculated total energy: -5.235 eV/atom
data_ZrPBr
_space_group_name_H-M_alt 'P 1'
_space_group_IT_number 1
_cell_length_a 4.598
_cell_length_b 4.598
_cell_length_c 4.598
_cell_angle_alpha 60.00
_cell_angle_beta 60.00
_cell_angle_gamma 60.00
loop_
_space_group_symop_operation_xyz
'x,y,z'
loop_
_atom_site_label
_atom_site_type_symbol
_atom_site_fract_x
_atom_site_fract_y
_atom_site_fract_z
Zr1 Zr 0.000 0.000 0.000
P1 P 0.750 0.750 0.750
Br1 Br 0.500 0.500 0.500


[11]
# LaMgCr, relaxed, DFT GGA-PBE
# - DFT formation energy: 0.334 eV per atom
# - Magnetic moment: 4.36 μB per formula unit
# - Calculated total energy: -5.048 eV/atom
data_LaMgCr
_space_group_name_H-M_alt 'P 1'
_space_group_IT_number 1
_cell_length_a 5.122
_cell_length_b 5.122
_cell_length_c 3.455
_cell_angle_alpha 90.00
_cell_angle_beta 90.00
_cell_angle_gamma 120.00
loop_
_space_group_symop_operation_xyz
'x,y,z'
loop_
_atom_site_label
_atom_site_type_symbol
_atom_site_fract_x
_atom_site_fract_y
_atom_site_fract_z
La1 La 0.000 0.000 0.000
Mg1 Mg 0.667 0.333 0.499
Cr1 Cr 0.333 0.667 0.501


[12]
# Rb3H4Au, relaxed, DFT GGA-PBE
# - Magnetic moment: 0.00 μB per formula unit
# - Calculated total energy: -2.599 eV/atom
data_Rb3H4Au
_space_group_name_H-M_alt 'P 1'
_space_group_IT_number 1
_cell_length_a 6.241
_cell_length_b 6.241
_cell_length_c 6.241
_cell_angle_alpha 120.29
_cell_angle_beta 91.03
_cell_angle_gamma 118.53
loop_
_space_group_symop_operation_xyz
'x,y,z'
loop_
_atom_site_label
_atom_site_type_symbol
_atom_site_fract_x
_atom_site_fract_y
_atom_site_fract_z
Rb1 Rb 0.000 0.000 0.000
Rb2 Rb 0.293 0.538 0.755
Rb3 Rb 0.783 0.538 0.245
H1 H 0.328 0.052 0.724
H2 H 0.328 0.605 0.276
H3 H 0.424 0.109 0.315
H4 H 0.794 0.109 0.685
Au1 Au 0.517 0.017 0.500


[13]
# Mo2PbAu, relaxed, DFT GGA-PBE
# - DFT formation energy: 0.736 eV per atom
# - Magnetic moment: 0.00 μB per formula unit
# - Calculated total energy: -6.426 eV/atom
data_Mo2PbAu
_space_group_name_H-M_alt 'P 1'
_space_group_IT_number 1
_cell_length_a 2.927
_cell_length_b 2.927
_cell_length_c 8.723
_cell_angle_alpha 90.00
_cell_angle_beta 90.00
_cell_angle_gamma 96.47
loop_
_space_group_symop_operation_xyz
'x,y,z'
loop_
_atom_site_label
_atom_site_type_symbol
_atom_site_fract_x
_atom_site_fract_y
_atom_site_fract_z
Mo1 Mo 0.000 0.000 0.233
Mo2 Mo 0.000 0.000 0.767
Pb1 Pb 0.500 0.500 0.500
Au1 Au 0.500 0.500 0.000


[14]
# DyGa3B4O12, relaxed, DFT GGA-PBE
# - Magnetic moment: 0.00 μB per formula unit
# - Energy relative to the elements, uncorrected: -2.37 eV per atom
# - Calculated total energy: -7.361 eV/atom
data_DyGa3B4O12
_space_group_name_H-M_alt 'P 1'
_space_group_IT_number 1
_cell_length_a 6.056
_cell_length_b 6.056
_cell_length_c 6.056
_cell_angle_alpha 104.00
_cell_angle_beta 104.00
_cell_angle_gamma 104.00
loop_
_space_group_symop_operation_xyz
'x,y,z'
loop_
_atom_site_label
_atom_site_type_symbol
_atom_site_fract_x
_atom_site_fract_y
_atom_site_fract_z
Dy1 Dy 0.000 0.000 0.000
Ga1 Ga 0.000 0.550 0.450
Ga2 Ga 0.450 0.000 0.550
Ga3 Ga 0.550 0.450 0.000
B1 B 0.052 0.500 0.948
B2 B 0.500 0.500 0.500
B3 B 0.500 0.948 0.052
B4 B 0.948 0.052 0.500
O1 O 0.028 0.632 0.792
O2 O 0.093 0.907 0.500
O3 O 0.208 0.368 0.972
O4 O 0.355 0.645 0.500
O5 O 0.368 0.972 0.208
O6 O 0.500 0.093 0.907
O7 O 0.500 0.355 0.645
O8 O 0.632 0.792 0.028
O9 O 0.645 0.500 0.355
O10 O 0.792 0.028 0.632
O11 O 0.907 0.500 0.093
O12 O 0.972 0.208 0.368


[15]
# Ac2SnPd, relaxed, DFT GGA-PBE
# - DFT formation energy: -0.629 eV per atom
# - Magnetic moment: 0.00 μB per formula unit
# - Calculated total energy: -4.983 eV/atom
data_Ac2SnPd
_space_group_name_H-M_alt 'P 1'
_space_group_IT_number 1
_cell_length_a 4.906
_cell_length_b 4.906
_cell_length_c 6.618
_cell_angle_alpha 90.02
_cell_angle_beta 90.02
_cell_angle_gamma 60.09
loop_
_space_group_symop_operation_xyz
'x,y,z'
loop_
_atom_site_label
_atom_site_type_symbol
_atom_site_fract_x
_atom_site_fract_y
_atom_site_fract_z
Ac1 Ac 0.167 0.167 0.273
Ac2 Ac 0.833 0.833 0.727
Sn1 Sn 0.500 0.500 0.000
Pd1 Pd 0.500 0.500 0.500


[16]
# PaSbBrO4, relaxed, DFT GGA-PBE
# - Magnetic moment: 0.00 μB per formula unit
# - Energy relative to the elements, uncorrected: -2.09 eV per atom
# - Calculated total energy: -7.105 eV/atom
data_PaSbBrO4
_space_group_name_H-M_alt 'P 1'
_space_group_IT_number 1
_cell_length_a 6.454
_cell_length_b 6.454
_cell_length_c 7.472
_cell_angle_alpha 107.58
_cell_angle_beta 107.58
_cell_angle_gamma 66.70
loop_
_space_group_symop_operation_xyz
'x,y,z'
loop_
_atom_site_label
_atom_site_type_symbol
_atom_site_fract_x
_atom_site_fract_y
_atom_site_fract_z
Pa1 Pa 0.245 0.245 0.378
Pa2 Pa 0.755 0.755 0.622
Sb1 Sb 0.156 0.156 0.794
Sb2 Sb 0.844 0.844 0.206
Br1 Br 0.492 0.492 0.265
Br2 Br 0.508 0.508 0.735
O1 O 0.023 0.408 0.637
O2 O 0.037 0.037 0.317
O3 O 0.183 0.183 0.080
O4 O 0.408 0.023 0.637
O5 O 0.592 0.977 0.363
O6 O 0.817 0.817 0.920
O7 O 0.963 0.963 0.683
O8 O 0.977 0.592 0.363


[17]
# WN2Cl, relaxed, DFT GGA-PBE
# - Magnetic moment: 1.00 μB per formula unit
# - Energy relative to the elements, uncorrected: 0.07 eV per atom
# - Calculated total energy: -7.794 eV/atom
data_WN2Cl
_space_group_name_H-M_alt 'P 1'
_space_group_IT_number 1
_cell_length_a 6.069
_cell_length_b 6.069
_cell_length_c 6.069
_cell_angle_alpha 60.00
_cell_angle_beta 60.00
_cell_angle_gamma 60.00
loop_
_space_group_symop_operation_xyz
'x,y,z'
loop_
_atom_site_label
_atom_site_type_symbol
_atom_site_fract_x
_atom_site_fract_y
_atom_site_fract_z
W1 W 0.125 0.125 0.125
W2 W 0.875 0.875 0.875
N1 N 0.000 0.000 0.000
N2 N 0.000 0.000 0.500
N3 N 0.000 0.500 0.000
N4 N 0.500 0.000 0.000
Cl1 Cl 0.375 0.375 0.375
Cl2 Cl 0.625 0.625 0.625


[18]
# LiLaGa2Cu, relaxed, DFT GGA-PBE
# - DFT formation energy: -0.411 eV per atom
# - Magnetic moment: 0.00 μB per formula unit
# - Calculated total energy: -3.809 eV/atom
data_LiLaGa2Cu
_space_group_name_H-M_alt 'P 1'
_space_group_IT_number 1
_cell_length_a 5.844
_cell_length_b 5.844
_cell_length_c 5.844
_cell_angle_alpha 135.34
_cell_angle_beta 135.34
_cell_angle_gamma 65.00
loop_
_space_group_symop_operation_xyz
'x,y,z'
loop_
_atom_site_label
_atom_site_type_symbol
_atom_site_fract_x
_atom_site_fract_y
_atom_site_fract_z
Li1 Li 0.000 0.000 0.000
La1 La 0.750 0.250 0.500
Ga1 Ga 0.124 0.624 0.500
Ga2 Ga 0.376 0.876 0.500
Cu1 Cu 0.500 0.500 0.000